(1)
# CePrRu

An optimized crystal structure of CePrRu (PBE-GGA, Alexandria via LeMat-Bulk).

Lattice parameters (Å, degrees): 6.9107 6.9107 6.9107 90.00 90.00 90.00
Last column: nearest neighbours and their distance in Å.
Sites, in units of the cell vectors:
Ce: 0.0000 0.0000 0.0000  4 Ru 2.99
Ce: 0.0000 0.5000 0.5000  4 Ru 2.99
Ce: 0.5000 0.0000 0.5000  4 Ru 2.99
Ce: 0.5000 0.5000 0.0000  4 Ru 2.99
Pr: 0.0000 0.0000 0.5000  4 Ru 2.99
Pr: 0.0000 0.5000 0.0000  4 Ru 2.99
Pr: 0.5000 0.0000 0.0000  4 Ru 2.99
Pr: 0.5000 0.5000 0.5000  4 Ru 2.99
Ru: 0.2500 0.2500 0.2500  4 Ce 2.99, 4 Pr 2.99
Ru: 0.2500 0.7500 0.7500  4 Ce 2.99, 4 Pr 2.99
Ru: 0.7500 0.2500 0.7500  4 Ce 2.99, 4 Pr 2.99
Ru: 0.7500 0.7500 0.2500  4 Ce 2.99, 4 Pr 2.99

Computed properties:
- Space group: F-43m (216)
- DOS(E_F): 26.56 states/eV/cell
- ΔH_f (0 K): -0.27 eV/f.u.
- E above lowest polymorph: 0.456 eV per formula unit

(2)
# CePrRu2

An optimized crystal structure of CePrRu2 (PBE-GGA, Alexandria via LeMat-Bulk).

Lattice parameters (Å, degrees): 3.4643 3.4643 7.1132 90.00 90.00 90.00
Last column: nearest neighbours and their distance in Å.
Sites, in units of the cell vectors:
Ce: 0.0000 0.0000 0.0000  8 Ru 2.90
Pr: 0.0000 0.0000 0.5000  8 Ru 3.17, 4 Pr 3.46
Ru: 0.5000 0.5000 0.2179  4 Ce 2.90, 1 Ru 3.10, 4 Pr 3.17
Ru: 0.5000 0.5000 0.7821  4 Ce 2.90, 1 Ru 3.10, 4 Pr 3.17

Computed properties:
- Space group: P4/mmm (123)
- DOS(E_F): 1.65 states/eV/cell
- ΔH_f (0 K): -0.93 eV/f.u.

(3)
# Ce2PrRu9

An optimized crystal structure of Ce2PrRu9 (PBE-GGA, Alexandria via LeMat-Bulk).

Lattice parameters (Å, degrees): 9.4436 9.4436 9.4436 32.31 32.31 32.31
Last column: nearest neighbours and their distance in Å.
Sites, in units of the cell vectors:
Ce: 0.1397 0.1397 0.1397  12 Ru 3.05-3.36, 3 Ce 3.36
Ce: 0.8603 0.8603 0.8603  12 Ru 3.05-3.36, 3 Ce 3.36
Pr: 0.0000 0.0000 0.0000  6 Ru 3.03
Ru: 0.0782 0.5835 0.5835  7 Ru 2.60-2.75
Ru: 0.3355 0.3355 0.3355  6 Ru 2.63-2.71
Ru: 0.4165 0.4165 0.9218  7 Ru 2.60-2.75
Ru: 0.4165 0.9218 0.4165  7 Ru 2.60-2.75
Ru: 0.5000 0.5000 0.5000  6 Ru 2.75
Ru: 0.5835 0.0782 0.5835  7 Ru 2.60-2.75
Ru: 0.5835 0.5835 0.0782  7 Ru 2.60-2.75
Ru: 0.6645 0.6645 0.6645  6 Ru 2.63-2.71
Ru: 0.9218 0.4165 0.4165  7 Ru 2.60-2.75

Computed properties:
- Space group: R-3m (166)
- DOS(E_F): 15.63 states/eV/cell
- ΔH_f (0 K): -1.15 eV/f.u.

(4)
# CePr2U2Ru5

An optimized crystal structure of CePr2U2Ru5 (PBE-GGA, Alexandria via LeMat-Bulk).

Lattice parameters (Å, degrees): 10.7641 10.7641 3.6197 90.00 90.00 90.00
Last column: nearest neighbours and their distance in Å.
Sites, in units of the cell vectors:
Ce: 0.0000 0.0000 0.0000  8 Ru 2.94
Ce: 0.5000 0.5000 0.0000  8 Ru 2.94
Pr: 0.1759 0.3241 0.0000  1 U 2.88
Pr: 0.3241 0.8241 0.0000  1 U 2.88
Pr: 0.6759 0.1759 0.0000  1 U 2.88
Pr: 0.8241 0.6759 0.0000  1 U 2.88
U: 0.1348 0.6348 0.0000  6 Ru 2.63-2.74, 1 Pr 2.88
U: 0.3652 0.1348 0.0000  6 Ru 2.63-2.74, 1 Pr 2.88
U: 0.6348 0.8652 0.0000  6 Ru 2.63-2.74, 1 Pr 2.88
U: 0.8652 0.3652 0.0000  6 Ru 2.63-2.74, 1 Pr 2.88
Ru: 0.0000 0.5000 0.5000  4 U 2.74
Ru: 0.0524 0.7911 0.5000  2 U 2.63
Ru: 0.2089 0.0524 0.5000  2 U 2.63
Ru: 0.2911 0.5524 0.5000  2 U 2.63
Ru: 0.4476 0.2911 0.5000  2 U 2.63
Ru: 0.5000 0.0000 0.5000  4 U 2.74
Ru: 0.5524 0.7089 0.5000  2 U 2.63
Ru: 0.7089 0.4476 0.5000  2 U 2.63
Ru: 0.7911 0.9476 0.5000  2 U 2.63
Ru: 0.9476 0.2089 0.5000  2 U 2.63

Computed properties:
- Space group: P4/mbm (127)
- DOS(E_F): 18.26 states/eV/cell
- ΔH_f (0 K): -2.09 eV/f.u.

(5)
# Ce2PrS4

An optimized crystal structure of Ce2PrS4 (PBE-GGA, Alexandria via LeMat-Bulk).

Lattice parameters (Å, degrees): 7.0367 7.0367 13.4184 90.00 90.00 147.37
Last column: nearest neighbours and their distance in Å.
Sites, in units of the cell vectors:
Ce: 0.1318 0.8682 0.5687  6 S 2.79-2.87
Ce: 0.1318 0.8682 0.9313  6 S 2.79-2.87
Ce: 0.8682 0.1318 0.0687  6 S 2.79-2.87
Ce: 0.8682 0.1318 0.4313  6 S 2.79-2.87
Pr: 0.3772 0.6228 0.7500  6 S 2.87-2.95
Pr: 0.6228 0.3772 0.2500  6 S 2.87-2.95
S: 0.0308 0.9692 0.7500  2 Ce 2.79, 2 Pr 2.87
S: 0.2250 0.7750 0.1231  3 Ce 2.86-2.87, 2 Pr 2.95
S: 0.2250 0.7750 0.3769  3 Ce 2.86-2.87, 2 Pr 2.95
S: 0.5000 0.5000 0.0000  4 Ce 2.82
S: 0.5000 0.5000 0.5000  4 Ce 2.82
S: 0.7750 0.2250 0.6231  3 Ce 2.86-2.87, 2 Pr 2.95
S: 0.7750 0.2250 0.8769  3 Ce 2.86-2.87, 2 Pr 2.95
S: 0.9692 0.0308 0.2500  2 Ce 2.79, 2 Pr 2.87

Computed properties:
- Space group: Cmcm (63)
- DOS(E_F): 26.26 states/eV/cell
- Uncorrected formation energy: -1983 meV per atom

(6)
# CePr5S7

An optimized crystal structure of CePr5S7 (PBE-GGA, Alexandria via LeMat-Bulk).

Lattice parameters (Å, degrees): 7.0766 7.0766 24.0345 90.04 90.04 33.09
Last column: nearest neighbours and their distance in Å.
Sites, in units of the cell vectors:
Ce: 0.2094 0.2094 0.2497  6 S 2.84-2.96
Ce: 0.7906 0.7906 0.7503  6 S 2.84-2.96
Pr: 0.0000 0.0000 0.0000  6 S 2.88-2.98
Pr: 0.0000 0.0000 0.5000  6 S 2.88-2.98
Pr: 0.2771 0.2771 0.5713  6 S 2.87-2.91
Pr: 0.2768 0.2768 0.9287  6 S 2.87-2.91
Pr: 0.4550 0.4550 0.1480  6 S 2.85-2.90
Pr: 0.4547 0.4547 0.3519  6 S 2.85-2.90
Pr: 0.5453 0.5453 0.6481  6 S 2.85-2.90
Pr: 0.5450 0.5450 0.8520  6 S 2.85-2.90
Pr: 0.7232 0.7232 0.0713  6 S 2.87-2.91
Pr: 0.7229 0.7229 0.4287  6 S 2.87-2.91
S: 0.0914 0.0914 0.3872  5 Pr 2.87-2.98
S: 0.0917 0.0917 0.1128  5 Pr 2.87-2.98
S: 0.1881 0.1881 0.6809  3 Pr 2.90, 2 Ce 2.96
S: 0.1877 0.1877 0.8193  3 Pr 2.89-2.90, 2 Ce 2.96
S: 0.3648 0.3648 0.0390  6 Pr 2.88-2.91
S: 0.3648 0.3648 0.4610  6 Pr 2.88-2.91
S: 0.4383 0.4383 0.7499  2 Ce 2.84, 2 Pr 2.85
S: 0.5617 0.5617 0.2501  2 Ce 2.84, 2 Pr 2.85
S: 0.6352 0.6352 0.5390  6 Pr 2.88-2.91
S: 0.6352 0.6352 0.9610  6 Pr 2.88-2.91
S: 0.8123 0.8123 0.1807  3 Pr 2.89-2.90, 2 Ce 2.96
S: 0.8119 0.8119 0.3191  3 Pr 2.90, 2 Ce 2.96
S: 0.9083 0.9083 0.8872  5 Pr 2.87-2.98
S: 0.9086 0.9086 0.6128  5 Pr 2.87-2.98

Computed properties:
- Space group: C2/m (12)
- DOS(E_F): 20.91 states/eV/cell
- Uncorrected formation energy: -2016 meV per atom

(7)
# Ce3Pr2S8

An optimized crystal structure of Ce3Pr2S8 (PBE-GGA, Alexandria via LeMat-Bulk).

Lattice parameters (Å, degrees): 8.2399 8.2399 6.9098 107.80 107.80 59.80
Last column: nearest neighbours and their distance in Å.
Sites, in units of the cell vectors:
Ce: 0.0000 0.0000 0.0000  6 S 2.79-2.83
Ce: 0.2609 0.7391 0.5000  6 S 2.74-2.84
Ce: 0.7391 0.2609 0.5000  6 S 2.74-2.84
Pr: 0.2689 0.2689 0.8433  6 S 2.83-2.94
Pr: 0.7311 0.7311 0.1567  6 S 2.83-2.94
S: 0.1011 0.6484 0.0876  2 Ce 2.79, 2 Pr 2.90-2.93
S: 0.1138 0.1138 0.4284  3 Ce 2.83-2.84, 1 Pr 2.94
S: 0.3516 0.8989 0.9124  2 Ce 2.79, 2 Pr 2.90-2.93
S: 0.3896 0.3896 0.5951  2 Ce 2.74, 1 Pr 2.83
S: 0.6104 0.6104 0.4049  2 Ce 2.74, 1 Pr 2.83
S: 0.6484 0.1011 0.0876  2 Ce 2.79, 2 Pr 2.90-2.93
S: 0.8862 0.8862 0.5716  3 Ce 2.83-2.84, 1 Pr 2.94
S: 0.8989 0.3516 0.9124  2 Ce 2.79, 2 Pr 2.90-2.93

Computed properties:
- Space group: C2/m (12)
- DOS(E_F): 13.95 states/eV/cell
- Uncorrected formation energy: -1918 meV per atom
- E above lowest polymorph: 0.000 eV per formula unit

(8)
# Ce3Pr5S8

An optimized crystal structure of Ce3Pr5S8 (PBE-GGA, Alexandria via LeMat-Bulk).

Lattice parameters (Å, degrees): 8.1550 8.1550 8.1550 59.98 59.98 59.98
Last column: nearest neighbours and their distance in Å.
Sites, in units of the cell vectors:
Ce: 0.0000 0.5000 0.5000  6 S 2.86
Ce: 0.5000 0.0000 0.5000  6 S 2.86
Ce: 0.5000 0.5000 0.0000  6 S 2.86
Pr: 0.0000 0.0000 0.0000  6 S 2.88
Pr: 0.0000 0.0000 0.5000  6 S 2.91
Pr: 0.0000 0.5000 0.0000  6 S 2.91
Pr: 0.5000 0.0000 0.0000  6 S 2.91
Pr: 0.5000 0.5000 0.5000  6 S 2.88
S: 0.2500 0.2500 0.7453  2 Ce 2.86, 4 Pr 2.88-2.91
S: 0.2500 0.7453 0.2500  2 Ce 2.86, 4 Pr 2.88-2.91
S: 0.2521 0.2521 0.2521  3 Ce 2.86, 3 Pr 2.91
S: 0.2547 0.7500 0.7500  2 Ce 2.86, 4 Pr 2.88-2.91
S: 0.7453 0.2500 0.2500  2 Ce 2.86, 4 Pr 2.88-2.91
S: 0.7479 0.7479 0.7479  3 Ce 2.86, 3 Pr 2.91
S: 0.7500 0.2547 0.7500  2 Ce 2.86, 4 Pr 2.88-2.91
S: 0.7500 0.7500 0.2547  2 Ce 2.86, 4 Pr 2.88-2.91

Computed properties:
- Space group: R-3m (166)
- DOS(E_F): 19.02 states/eV/cell
- Uncorrected formation energy: -2033 meV per atom

| no. | uncorrected energy (eV per atom) |
| --- | --- |
| 1 | -6.755 |
| 2 | -7.548 |
| 3 | -8.440 |
| 4 | -8.654 |
| 5 | -6.719 |
| 6 | -6.533 |
| 7 | -6.562 |
| 8 | -6.703 |